This record from the Alexandria database describes crystalline SrNdCdPd at its relaxed geometry. The functional is GGA-PBE.

E	-14.20	eV for the cell shown
total magnetic moment	0.000	μB/atom
DOS at the Fermi energy	0.73	states/eV per atom

Cell: 5.3653 5.3653 5.3653 Å, 60.00 60.00 60.00°
Sites, in units of the cell vectors:
Sr 0.5000 0.5000 0.5000
Nd 0.0000 0.0000 0.0000
Pd 0.7500 0.7500 0.7500
Cd 0.2500 0.2500 0.2500